Entry 1:
{"formula": "DyTlGa2", "functional": "PBE", "state": "relaxed", "e_above_lowest_polymorph_mev_per_atom": 0.0, "vol_a3_per_atom": 22.129, "e_form_ev_per_atom": -0.38, "e_tot_ev_per_cell": -14.531, "m_tot_mub_per_cell": 0.00, "cell": [[4.339, 0.000, 0.000], [0.000, 4.517, 0.000], [0.000, 0.000, 4.517]], "species": ["Tl", "Ga", "Ga", "Dy"], "fractional_positions": [[0.500, 0.500, 0.500], [0.000, 0.000, 0.500], [0.000, 0.500, 0.000], [0.500, 0.000, 0.000]]}

Entry 2:
{"formula": "Dy3Tl2Ga2", "functional": "PBE", "state": "relaxed", "vol_a3_per_atom": 24.512, "e_form_ev_per_atom": -0.48, "e_tot_ev_per_cell": -27.963, "m_tot_mub_per_cell": 0.00, "cell": [[4.214, 0.000, 0.559], [0.000, 3.647, 0.000], [0.651, 0.000, 11.252]], "species": ["Dy", "Dy", "Dy", "Tl", "Tl", "Ga", "Ga"], "fractional_positions": [[0.832, 0.000, 0.335], [0.000, 0.000, 0.000], [0.168, 0.000, 0.665], [0.580, 0.500, 0.840], [0.420, 0.500, 0.160], [0.718, 0.500, 0.565], [0.282, 0.500, 0.435]]}